VASP calculation (PBEsol) on crystalline YZrOs at its relaxed geometry.

```
YZrOs
1.0
4.529 0.000 0.000
2.265 3.923 0.000
2.265 1.308 3.698
Os Y Zr
1 1 1
Direct
0.500 0.500 0.500
0.250 0.250 0.250
0.000 0.000 0.000
```

SG = F-43m, No. 216
formation enthalpy at 0 K = 1.01 eV/atom
offset from the most stable computed form = 844 meV per atom



VASP calculation (PBEsol) on crystalline Y2FeSb at its relaxed geometry.

```
Y2FeSb
1.0
-0.170 3.366 1.914
-3.037 1.726 -3.306
-3.724 -1.644 2.562
Fe Sb Y
1 1 2
Direct
0.500 0.500 0.500
0.500 0.000 0.000
0.000 0.000 0.500
0.000 0.500 0.000
```

SG = P4/mmm, No. 123
raw formation energy = -0.3290 eV per atom



VASP calculation (PBEsol) on crystalline FeMo2H7O11 at its relaxed geometry.

```
FeMo2H7O11
1.0
-3.342 -3.035 3.256
4.041 -4.217 -2.638
4.563 3.268 4.454
Fe Mo H O
1 2 7 11
Direct
0.979 0.481 0.484
0.608 0.524 0.789
0.363 0.469 0.206
0.215 0.798 0.390
0.915 0.740 0.258
0.769 0.187 0.620
0.074 0.262 0.720
0.636 0.905 0.037
0.600 0.144 0.153
0.562 0.104 0.908
0.033 0.755 0.399
0.935 0.217 0.584
0.749 0.711 0.031
0.278 0.388 0.943
0.542 0.024 0.024
0.854 0.602 0.675
0.331 0.584 0.643
0.084 0.351 0.278
0.629 0.362 0.310
0.586 0.239 0.767
0.451 0.752 0.294
```

SG = P1, No. 1
E_tot = -142.04 eV per cell



VASP calculation (PBEsol) on crystalline ZnCdGa4S8 at its relaxed geometry.

```
ZnCdGa4S8
1.0
-0.664 -1.452 5.121
-4.782 -2.105 -1.216
4.487 -9.047 -1.983
Zn Cd Ga S
1 1 4 8
Direct
0.500 0.500 0.500
0.000 0.000 0.000
0.500 0.500 0.000
0.000 0.000 0.500
0.000 0.500 0.254
0.500 0.000 0.746
0.251 0.761 0.371
0.741 0.276 0.859
0.749 0.239 0.371
0.259 0.724 0.859
0.724 0.741 0.141
0.239 0.251 0.629
0.276 0.259 0.141
0.761 0.749 0.629
```

SG = P-4, No. 81
raw formation energy = -0.7160 eV per atom